Computed, not measured: a relaxed Ba2Li2Si crystal at the PBE-GGA level of DFT.

Cell lengths 10.062, 10.062, 10.062 Å; angles 26.05, 26.05, 26.05 degrees
Fractional positions:
Ba: 0.076 0.076 0.076
Ba: 0.924 0.924 0.924
Li: 0.182 0.182 0.182
Li: 0.818 0.818 0.818
Si: 0.500 0.500 0.500

Computed properties:
Calculated density, kg/m³: 3038
Total energy, eV/atom: -2.775
Magnetic moment, μB per cell: 0.0
ΔE_f (raw), eV/atom: -0.156